(1)
# LaCr2Rh (GGA-PBE, relaxed)
# Formation enthalpy at 0 K = 0.3406 eV per atom
# Polymorph energy (0 for the lowest one) = 235 meV/atom
# Raw total energy = -7.54 eV/atom
# Magnetic moment = 7.894 μB per formula unit
data_LaCr2Rh
_space_group_name_H-M_alt 'P 4/m m m'
_space_group_IT_number 123
_space_group_name_Hall '-P 4 2'
_cell_length_a 4.096
_cell_length_b 4.096
_cell_length_c 4.621
_cell_angle_alpha 90.00
_cell_angle_beta 90.00
_cell_angle_gamma 90.00
loop_
_atom_site_label
_atom_site_fract_x
_atom_site_fract_y
_atom_site_fract_z
La1 0.000 0.000 0.000
Cr1 0.000 0.500 0.500
Rh1 0.500 0.500 0.000

---

(2)
# Sr2YNpO6 (GGA-PBE, relaxed)
# Raw total energy = -8.39 eV/atom
# Energy relative to the elements, uncorrected = -303.18 kJ per mole of atoms
# Magnetic moment = 2.000 μB per formula unit
data_Sr2YNpO6
_space_group_name_H-M_alt 'P 1 21/c 1'
_space_group_IT_number 14
_cell_length_a 5.978
_cell_length_b 6.111
_cell_length_c 10.410
_cell_angle_alpha 90.00
_cell_angle_beta 124.99
_cell_angle_gamma 90.00
loop_
_space_group_symop_operation_xyz
'x,y,z'
'-x,-y,-z'
'-x,y+1/2,-z+1/2'
'x,-y+1/2,z+1/2'
loop_
_atom_site_label
_atom_site_fract_x
_atom_site_fract_y
_atom_site_fract_z
Sr1 0.240 0.043 0.251
Y1 0.500 0.000 0.000
Np1 0.000 0.000 0.500
O1 0.142 0.213 0.945
O2 0.238 0.697 0.950
O3 0.341 0.037 0.742

---

(3)
# PrZn3Ga2 (GGA-PBE, relaxed)
# Formation enthalpy at 0 K = -0.3612 eV per atom
# Raw total energy = -2.80 eV/atom
# Magnetic moment = 0.000 μB per formula unit
data_PrZn3Ga2
_space_group_name_H-M_alt 'C 1 2/m 1'
_space_group_IT_number 12
_cell_length_a 15.615
_cell_length_b 4.234
_cell_length_c 7.638
_cell_angle_alpha 90.00
_cell_angle_beta 115.62
_cell_angle_gamma 90.00
loop_
_space_group_symop_operation_xyz
'x,y,z'
'-x,-y,-z'
'-x,y,-z'
'x,-y,z'
'x+1/2,y+1/2,z'
'-x+1/2,-y+1/2,-z'
'-x+1/2,y+1/2,-z'
'x+1/2,-y+1/2,z'
loop_
_atom_site_label
_atom_site_fract_x
_atom_site_fract_y
_atom_site_fract_z
Pr1 0.148 0.000 0.074
Zn1 0.036 0.000 0.372
Zn2 0.103 0.500 0.698
Zn3 0.188 0.500 0.457
Ga1 0.021 0.500 0.175
Ga2 0.197 0.000 0.704

---

(4)
# BeCuPd2C (GGA-PBE, relaxed)
# Formation enthalpy at 0 K = 0.3276 eV per atom
# Raw total energy = -5.16 eV/atom
# Magnetic moment = 0.000 μB per formula unit
data_BeCuPd2C
_space_group_name_H-M_alt 'P 4/m m m'
_space_group_IT_number 123
_space_group_name_Hall '-P 4 2'
_cell_length_a 4.117
_cell_length_b 4.117
_cell_length_c 3.736
_cell_angle_alpha 90.00
_cell_angle_beta 90.00
_cell_angle_gamma 90.00
loop_
_atom_site_label
_atom_site_fract_x
_atom_site_fract_y
_atom_site_fract_z
Be1 0.000 0.000 0.000
Cu1 0.500 0.500 0.000
Pd1 0.000 0.500 0.500
C1 0.500 0.500 0.500

---

(5)
# Na2ZrScS4 (GGA-PBE, relaxed)
# Raw total energy = -5.86 eV/atom
# Energy relative to the elements, uncorrected = -155.04 kJ per mole of atoms
# Magnetic moment = 0.000 μB per formula unit
data_Na2ZrScS4
_space_group_name_H-M_alt 'P 1 2/m 1'
_space_group_IT_number 10
_cell_length_a 6.478
_cell_length_b 3.717
_cell_length_c 7.062
_cell_angle_alpha 90.00
_cell_angle_beta 107.67
_cell_angle_gamma 90.00
loop_
_space_group_symop_operation_xyz
'x,y,z'
'-x,-y,-z'
'-x,y,-z'
'x,-y,z'
loop_
_atom_site_label
_atom_site_fract_x
_atom_site_fract_y
_atom_site_fract_z
Na1 0.000 0.000 0.000
Na2 0.500 0.500 0.000
Zr1 0.000 0.500 0.500
Sc1 0.500 0.000 0.500
S1 0.242 0.000 0.723
S2 0.260 0.500 0.280

---

(6)
# ReHgP2Cl (GGA-PBE, relaxed)
# Polymorph energy (0 for the lowest one) = 0 meV/atom
# Raw total energy = -4.75 eV/atom
# Energy relative to the elements, uncorrected = 32.53 kJ per mole of atoms
# Magnetic moment = 0.000 μB per formula unit
data_ReHgP2Cl
_space_group_name_H-M_alt 'P 4/m m m'
_space_group_IT_number 123
_space_group_name_Hall '-P 4 2'
_cell_length_a 4.592
_cell_length_b 4.592
_cell_length_c 5.236
_cell_angle_alpha 90.00
_cell_angle_beta 90.00
_cell_angle_gamma 90.00
loop_
_atom_site_label
_atom_site_fract_x
_atom_site_fract_y
_atom_site_fract_z
Re1 0.000 0.000 0.000
Hg1 0.500 0.500 0.500
P1 0.000 0.500 0.000
Cl1 0.000 0.000 0.500

---

(7)
# Rb2WS (GGA-PBE, relaxed)
# Raw total energy = -4.28 eV/atom
# Energy relative to the elements, uncorrected = 45.33 kJ per mole of atoms
# Magnetic moment = 2.658 μB per formula unit
data_Rb2WS
_space_group_name_H-M_alt 'I -4 2 d'
_space_group_IT_number 122
_space_group_name_Hall 'I -4 2bw'
_cell_length_a 13.034
_cell_length_b 13.034
_cell_length_c 4.558
_cell_angle_alpha 90.00
_cell_angle_beta 90.00
_cell_angle_gamma 90.00
loop_
_atom_site_label
_atom_site_fract_x
_atom_site_fract_y
_atom_site_fract_z
Rb1 0.055 0.250 0.125
W1 0.000 0.000 0.500
S1 0.000 0.000 0.000

---

(8)
# PrLuSnPt (GGA-PBE, relaxed)
# Formation enthalpy at 0 K = -0.7823 eV per atom
# Raw total energy = -5.62 eV/atom
# Magnetic moment = 0.000 μB per formula unit
data_PrLuSnPt
_space_group_name_H-M_alt 'F -4 3 m'
_space_group_IT_number 216
_space_group_name_Hall 'F -4 2 3'
_cell_length_a 7.368
_cell_length_b 7.368
_cell_length_c 7.368
_cell_angle_alpha 90.00
_cell_angle_beta 90.00
_cell_angle_gamma 90.00
loop_
_atom_site_label
_atom_site_fract_x
_atom_site_fract_y
_atom_site_fract_z
Pr1 0.000 0.000 0.000
Lu1 0.000 0.000 0.500
Sn1 0.250 0.250 0.750
Pt1 0.250 0.250 0.250

---

(9)
# PmNd3Pd (GGA-PBE, relaxed)
# Formation enthalpy at 0 K = -0.2187 eV per atom
# Polymorph energy (0 for the lowest one) = 93 meV/atom
# Raw total energy = -5.07 eV/atom
# Magnetic moment = 0.000 μB per formula unit
data_PmNd3Pd
_space_group_name_H-M_alt 'C 1 2/m 1'
_space_group_IT_number 12
_cell_length_a 12.078
_cell_length_b 8.738
_cell_length_c 8.285
_cell_angle_alpha 90.00
_cell_angle_beta 130.62
_cell_angle_gamma 90.00
loop_
_space_group_symop_operation_xyz
'x,y,z'
'-x,-y,-z'
'-x,y,-z'
'x,-y,z'
'x+1/2,y+1/2,z'
'-x+1/2,-y+1/2,-z'
'-x+1/2,y+1/2,-z'
'x+1/2,-y+1/2,z'
loop_
_atom_site_label
_atom_site_fract_x
_atom_site_fract_y
_atom_site_fract_z
Pm1 0.069 0.000 0.269
Nd1 0.041 0.500 0.314
Nd2 0.214 0.197 0.747
Pd1 0.234 0.000 0.095

---

(10)
# LaSc2Cr (GGA-PBE, relaxed)
# Formation enthalpy at 0 K = 0.3667 eV per atom
# Polymorph energy (0 for the lowest one) = 186 meV/atom
# Raw total energy = -6.44 eV/atom
# Magnetic moment = 2.667 μB per formula unit
data_LaSc2Cr
_space_group_name_H-M_alt 'R -3 m'
_space_group_IT_number 166
_space_group_name_Hall '-R 3 2"'
_cell_length_a 3.3077
_cell_length_b 3.3077
_cell_length_c 30.4976
_cell_angle_alpha 90.00
_cell_angle_beta 90.00
_cell_angle_gamma 120.00
loop_
_atom_site_label
_atom_site_fract_x
_atom_site_fract_y
_atom_site_fract_z
La1 0.0000 0.0000 0.0000
Sc1 0.0000 0.0000 0.2350
Cr1 0.0000 0.0000 0.5000

---

(11)
# Te2AsP (GGA-PBE, relaxed)
# Polymorph energy (0 for the lowest one) = 418 meV/atom
# Raw total energy = -3.53 eV/atom
# Energy relative to the elements, uncorrected = 53.49 kJ per mole of atoms
# Magnetic moment = 0.000 μB per formula unit
data_Te2AsP
_space_group_name_H-M_alt 'P 4/m m m'
_space_group_IT_number 123
_space_group_name_Hall '-P 4 2'
_cell_length_a 3.577
_cell_length_b 3.577
_cell_length_c 7.012
_cell_angle_alpha 90.00
_cell_angle_beta 90.00
_cell_angle_gamma 90.00
loop_
_atom_site_label
_atom_site_fract_x
_atom_site_fract_y
_atom_site_fract_z
Te1 0.000 0.000 0.241
As1 0.500 0.500 0.500
P1 0.500 0.500 0.000

---

(12)
# Ba2ZnCdPt (GGA-PBE, relaxed)
# Formation enthalpy at 0 K = -0.4661 eV per atom
# Polymorph energy (0 for the lowest one) = 0 meV/atom
# Raw total energy = -2.88 eV/atom
# Magnetic moment = 0.000 μB per formula unit
data_Ba2ZnCdPt
_space_group_name_H-M_alt 'P 1 21/m 1'
_space_group_IT_number 11
_cell_length_a 8.395
_cell_length_b 4.752
_cell_length_c 8.594
_cell_angle_alpha 90.00
_cell_angle_beta 109.69
_cell_angle_gamma 90.00
loop_
_space_group_symop_operation_xyz
'x,y,z'
'-x,-y,-z'
'-x,y+1/2,-z'
'x,-y+1/2,z'
loop_
_atom_site_label
_atom_site_fract_x
_atom_site_fract_y
_atom_site_fract_z
Ba1 0.073 0.250 0.223
Ba2 0.347 0.750 0.642
Zn1 0.277 0.250 0.904
Cd1 0.364 0.750 0.094
Pt1 0.071 0.250 0.605